# 1
Compound: Tm2Sc2Te2C
Source: Alexandria
Functional: PBE
Structure: optimized geometry

The space group is C2/m (No. 12) and the conventional cell measures 13.4894, 3.7825 and 6.6986 Å, with angles of 90.00, 112.31 and 90.00 degrees. The inequivalent atoms are Tm at (0.9998, 0.0000, 0.2359), Sc at (0.1803, 0.5000, 0.1091), Te at (0.1521, 0.5000, 0.6218) and C at (0.0000, 0.5000, 0.0000).

For the formation energy from raw total energies, the calculation gives -825 meV/atom.



# 2
Compound: Y2Sc2Te2C
Source: Alexandria
Functional: PBE
Structure: optimized geometry

The space group is C2/m (No. 12) and the conventional cell measures 13.2206, 3.8420 and 7.0350 Å, with angles of 90.00, 113.78 and 90.00 degrees. The inequivalent atoms are Y at (0.0075, 0.0000, 0.2411), Sc at (0.1820, 0.5000, 0.0920), Te at (0.1563, 0.5000, 0.6324) and C at (0.0000, 0.5000, 0.0000).

For the formation energy from raw total energies, the calculation gives -844 meV/atom.



# 3
Compound: YSc2TeC
Source: Alexandria
Functional: PBE
Structure: optimized geometry

The space group is P4/mmm (No. 123) and the conventional cell measures 4.5302, 4.5302 and 4.9793 Å, with angles of 90.00, 90.00 and 90.00 degrees. The inequivalent atoms are Y at (0.0000, 0.0000, 0.0000), Sc at (0.0000, 0.5000, 0.5000), Te at (0.5000, 0.5000, 0.0000) and C at (0.0000, 0.0000, 0.5000).

For the formation energy from raw total energies, the calculation gives -614 meV/atom.



# 4
Compound: Th8ScC6
Source: Alexandria
Functional: PBE
Structure: optimized geometry

The space group is R-3 (No. 148, hexagonal axes) and the conventional cell measures 6.3504, 6.3504 and 28.1271 Å, with angles of 90.00, 90.00 and 120.00 degrees. The inequivalent atoms are Th at (0.0000, 0.0000, 0.1666), Th at (0.0005, 0.3322, 0.3967), Sc at (0.0000, 0.0000, 0.5000) and C at (0.0002, 0.3236, 0.5558).



# 5
Compound: ThSc3C3
Source: Alexandria
Functional: PBE
Structure: optimized geometry

The space group is R-3 (No. 148, hexagonal axes) and the conventional cell measures 6.7874, 6.7874 and 18.2390 Å, with angles of 90.00, 90.00 and 120.00 degrees. The inequivalent atoms are Th at (0.0000, 0.0000, 0.1750), Sc at (0.0220, 0.7230, 0.6148) and C at (0.0119, 0.6294, 0.4084).



# 6
Compound: ThScC
Source: Alexandria
Functional: PBE
Structure: optimized geometry

The space group is C2/m (No. 12) and the conventional cell measures 12.5709, 3.3453 and 6.7333 Å, with angles of 90.00, 118.29 and 90.00 degrees. The inequivalent atoms are Th at (0.0201, 0.0000, 0.2490), Sc at (0.2332, 0.5000, 0.7961) and C at (0.1307, 0.5000, 0.0037).

The calculation puts the excess energy over the best structure of this formula in the dataset at 167.5 meV/atom.



# 7
Compound: ThSc2C
Source: Alexandria
Functional: PBE
Structure: optimized geometry

The space group is R-3m (No. 166, hexagonal axes) and the conventional cell measures 3.3287, 3.3287 and 27.9211 Å, with angles of 90.00, 90.00 and 120.00 degrees. The inequivalent atoms are Th at (0.0000, 0.0000, 0.0000), Sc at (0.0000, 0.0000, 0.1228) and C at (0.0000, 0.0000, 0.5000).



# 8
Compound: ThScC
Source: Alexandria
Functional: PBE
Structure: optimized geometry

The space group is P3m1 (No. 156) and the conventional cell measures 3.4823, 3.4823 and 6.2317 Å, with angles of 90.00, 90.00 and 120.00 degrees. The inequivalent atoms are Th at (0.0000, 0.0000, 0.0000), Sc at (0.3333, 0.6667, 0.4262) and C at (0.6667, 0.3333, 0.2497).

The calculation puts the excess energy over the best structure of this formula in the dataset at 0.0 meV/atom.



# 9
Compound: ThScC2
Source: Alexandria
Functional: PBE
Structure: optimized geometry

The space group is R3m (No. 160, hexagonal axes) and the conventional cell measures 3.7031, 3.7031 and 15.8764 Å, with angles of 90.00, 90.00 and 120.00 degrees. The inequivalent atoms are Th at (0.0000, 0.0000, 0.0000), Sc at (0.0000, 0.0000, 0.1761), C at (0.0000, 0.0000, 0.4588) and C at (0.0000, 0.0000, 0.5563).

The calculation puts the excess energy over the best structure of this formula in the dataset at 87.0 meV/atom.



# 10
Compound: Th4ScC4
Source: Alexandria
Functional: PBE
Structure: optimized geometry

The space group is C2/m (No. 12) and the conventional cell measures 12.1393, 3.6659 and 9.0878 Å, with angles of 90.00, 120.14 and 90.00 degrees. The inequivalent atoms are Th at (0.0989, 0.0000, 0.3777), Th at (0.2038, 0.5000, 0.8101), Sc at (0.0000, 0.5000, 0.0000), C at (0.1016, 0.0000, 0.9136) and C at (0.1919, 0.5000, 0.2976).



# 11
Compound: ThScC2
Source: Alexandria
Functional: PBE
Structure: optimized geometry

The space group is R-3m (No. 166, hexagonal axes) and the conventional cell measures 3.6156, 3.6156 and 17.0659 Å, with angles of 90.00, 90.00 and 120.00 degrees. The inequivalent atoms are Th at (0.0000, 0.0000, 0.0000), Sc at (0.0000, 0.0000, 0.5000) and C at (0.0000, 0.0000, 0.2439).

The calculation puts the excess energy over the best structure of this formula in the dataset at 0.0 meV/atom.



# 12
Compound: Th3ScC
Source: Alexandria
Functional: PBE
Structure: optimized geometry

The space group is Pm-3m (No. 221) and the conventional cell measures 5.1155, 5.1155 and 5.1155 Å, with angles of 90.00, 90.00 and 90.00 degrees. The inequivalent atoms are Th at (0.0000, 0.0000, 0.5000), Sc at (0.5000, 0.5000, 0.5000) and C at (0.0000, 0.0000, 0.0000).



# 13
Compound: ThSc2UC4
Source: Alexandria
Functional: PBE
Structure: optimized geometry

The space group is P2/m (No. 10) and the conventional cell measures 5.9621, 3.5505 and 6.1787 Å, with angles of 90.00, 110.16 and 90.00 degrees. The inequivalent atoms are Th at (0.0000, 0.0000, 0.0000), Sc at (0.5000, 0.0000, 0.5000), Sc at (0.5000, 0.5000, 0.0000), U at (0.0000, 0.5000, 0.5000), C at (0.2422, 0.5000, 0.2808) and C at (0.2480, 0.0000, 0.7353).



# 14
Compound: ThSc2WC4
Source: Alexandria
Functional: PBE
Structure: optimized geometry

The space group is Cmcm (No. 63) and the conventional cell measures 3.4474, 11.8754 and 11.5051 Å, with angles of 90.00, 90.00 and 90.00 degrees. The inequivalent atoms are Th at (0.0000, 0.1064, 0.2500), Sc at (0.0000, 0.3730, 0.0373), W at (0.0000, 0.1562, 0.7500), C at (0.0000, 0.0000, 0.0000), C at (0.0000, 0.2607, 0.6213) and C at (0.0000, 0.4389, 0.2500).



# 15
Compound: ScTi3C
Source: Alexandria
Functional: PBE
Structure: optimized geometry

The space group is Pm-3m (No. 221) and the conventional cell measures 4.3115, 4.3115 and 4.3115 Å, with angles of 90.00, 90.00 and 90.00 degrees. The inequivalent atoms are Sc at (0.0000, 0.0000, 0.0000), Ti at (0.0000, 0.5000, 0.5000) and C at (0.5000, 0.5000, 0.5000).

The calculation puts the excess energy over the best structure of this formula in the dataset at 0.0 meV/atom.



# 16
Compound: ScTi2C2
Source: Alexandria
Functional: PBE
Structure: optimized geometry

The space group is I4/mmm (No. 139) and the conventional cell measures 4.0009, 4.0009 and 8.5636 Å, with angles of 90.00, 90.00 and 90.00 degrees. The inequivalent atoms are Sc at (0.0000, 0.0000, 0.0000), Ti at (0.0000, 0.0000, 0.3176) and C at (0.0000, 0.5000, 0.2500).

The calculation puts the excess energy over the best structure of this formula in the dataset at 154.8 meV/atom.



# 17
Compound: ScTiC3
Source: Alexandria
Functional: PBE
Structure: optimized geometry

The space group is Pm-3m (No. 221) and the conventional cell measures 4.0442, 4.0442 and 4.0442 Å, with angles of 90.00, 90.00 and 90.00 degrees. The inequivalent atoms are Sc at (0.0000, 0.0000, 0.0000), Ti at (0.5000, 0.5000, 0.5000) and C at (0.0000, 0.0000, 0.5000).

The calculation puts the excess energy over the best structure of this formula in the dataset at 937.6 meV/atom.



# 18
Compound: ScTi2C
Source: Alexandria
Functional: PBE
Structure: optimized geometry

The space group is I-42d (No. 122) and the conventional cell measures 6.1573, 6.1573 and 8.3985 Å, with angles of 90.00, 90.00 and 90.00 degrees. The inequivalent atoms are Sc at (0.0000, 0.0000, 0.0000), Ti at (0.0882, 0.7500, 0.6250) and C at (0.0000, 0.0000, 0.5000).



# 19
Compound: ScTiC3
Source: Alexandria
Functional: PBE
Structure: optimized geometry

The space group is Pm-3m (No. 221) and the conventional cell measures 3.9713, 3.9713 and 3.9713 Å, with angles of 90.00, 90.00 and 90.00 degrees. The inequivalent atoms are Sc at (0.0000, 0.0000, 0.0000), Ti at (0.5000, 0.5000, 0.5000) and C at (0.0000, 0.5000, 0.5000).

The calculation puts the excess energy over the best structure of this formula in the dataset at 0.0 meV/atom.



# 20
Compound: Sc2Ti2C3
Source: Alexandria
Functional: PBE
Structure: optimized geometry

The space group is C2/m (No. 12) and the conventional cell measures 10.4669, 3.1439 and 5.6168 Å, with angles of 90.00, 98.37 and 90.00 degrees. The inequivalent atoms are Sc at (0.1318, 0.0000, 0.3737), Ti at (0.1299, 0.5000, 0.9066), C at (0.0000, 0.0000, 0.0000) and C at (0.2456, 0.0000, 0.7619).



# 21
Compound: ScTi3C
Source: Alexandria
Functional: PBE
Structure: optimized geometry

The space group is Pm-3m (No. 221) and the conventional cell measures 4.5490, 4.5490 and 4.5490 Å, with angles of 90.00, 90.00 and 90.00 degrees. The inequivalent atoms are Sc at (0.0000, 0.0000, 0.0000), Ti at (0.0000, 0.0000, 0.5000) and C at (0.5000, 0.5000, 0.5000).

The calculation puts the excess energy over the best structure of this formula in the dataset at 2609.5 meV/atom.



# 22
Compound: ScTi2C2
Source: Alexandria
Functional: PBE
Structure: optimized geometry

The space group is P4/mbm (No. 127) and the conventional cell measures 6.1354, 6.1354 and 3.0952 Å, with angles of 90.00, 90.00 and 90.00 degrees. The inequivalent atoms are Sc at (0.0000, 0.0000, 0.0000), Ti at (0.1519, 0.3481, 0.5000) and C at (0.1534, 0.6534, 0.0000).

The calculation puts the excess energy over the best structure of this formula in the dataset at 81.2 meV/atom.



# 23
Compound: Sc3TiC
Source: Alexandria
Functional: PBE
Structure: optimized geometry

The space group is Pm-3m (No. 221) and the conventional cell measures 4.5838, 4.5838 and 4.5838 Å, with angles of 90.00, 90.00 and 90.00 degrees. The inequivalent atoms are Sc at (0.0000, 0.0000, 0.5000), Ti at (0.5000, 0.5000, 0.5000) and C at (0.0000, 0.0000, 0.0000).

The calculation puts the excess energy over the best structure of this formula in the dataset at 0.0 meV/atom.



# 24
Compound: ScTi2C2
Source: Alexandria
Functional: PBE
Structure: optimized geometry

The space group is I4/mmm (No. 139) and the conventional cell measures 3.4760, 3.4760 and 9.6473 Å, with angles of 90.00, 90.00 and 90.00 degrees. The inequivalent atoms are Sc at (0.0000, 0.0000, 0.0000), Ti at (0.0000, 0.5000, 0.2500) and C at (0.0000, 0.0000, 0.4216).

The calculation puts the excess energy over the best structure of this formula in the dataset at 113.9 meV/atom.



# 25
Compound: ScTi2C2
Source: Alexandria
Functional: PBE
Structure: optimized geometry

The space group is C2/c (No. 15) and the conventional cell measures 7.1729, 8.4299 and 5.4077 Å, with angles of 90.00, 124.40 and 90.00 degrees. The inequivalent atoms are Sc at (0.0000, 0.1302, 0.2500), Ti at (0.1520, 0.3833, 0.0261), C at (0.0000, 0.1623, 0.7500) and C at (0.0000, 0.4019, 0.2500).

The calculation puts the excess energy over the best structure of this formula in the dataset at 0.0 meV/atom.



# 26
Compound: ScTi2C
Source: Alexandria
Functional: PBE
Structure: optimized geometry

The space group is R-3m (No. 166, hexagonal axes) and the conventional cell measures 3.0808, 3.0808 and 24.0752 Å, with angles of 90.00, 90.00 and 120.00 degrees. The inequivalent atoms are Sc at (0.0000, 0.0000, 0.0000), Ti at (0.0000, 0.0000, 0.1200) and C at (0.0000, 0.0000, 0.5000).



Q: Which DFT total energy values were calculated for the entries above? A: -0.4503; -0.4936; -0.5081; -0.6112; -0.5782; -0.5700; -0.5524; -0.5824; -0.5941; -0.6165; -0.6005; -0.5633; -0.6464; -0.6566; -0.5936; -0.6080; -0.4727; -0.5514; -0.5416; -0.6347; -0.4018; -0.6134; -0.5364; -0.6110; -0.6194; -0.5989, in Ry per atom.